# 1
## Zn2Pd12Au5 (GGA-PBE)

Data for crystalline Zn2Pd12Au5 at its relaxed geometry.

Cell and atoms, written as CIF:
```
data_Zn2Pd12Au5
_cell_length_a 12.586
_cell_length_b 7.575
_cell_length_c 6.534
_cell_angle_alpha 90.00
_cell_angle_beta 91.20
_cell_angle_gamma 90.00
_space_group_name_H-M_alt 'C 1 2/m 1'
_space_group_IT_number 12
loop_
_space_group_symop_operation_xyz
'x,y,z'
'-x,-y,-z'
'-x,y,-z'
'x,-y,z'
'x+1/2,y+1/2,z'
'-x+1/2,-y+1/2,-z'
'-x+1/2,y+1/2,-z'
'x+1/2,-y+1/2,z'
loop_
_atom_site_label
_atom_site_type_symbol
_atom_site_fract_x
_atom_site_fract_y
_atom_site_fract_z
Zn1 Zn 0.000 0.197 0.000
Pd1 Pd 0.053 0.000 0.317
Pd2 Pd 0.089 0.500 0.894
Pd3 Pd 0.121 0.200 0.660
Pd4 Pd 0.153 0.314 0.244
Au1 Au 0.000 0.500 0.500
Au2 Au 0.195 0.000 0.993
Au3 Au 0.237 0.500 0.581
```

Properties
The calculation puts the calculated formation energy at -0.0824 eV per atom.

---

# 2
## ZnIn2Bi2 (GGA-PBE)

Data for crystalline ZnIn2Bi2 at its relaxed geometry.

Cell and atoms, written as CIF:
```
data_ZnIn2Bi2
_cell_length_a 4.724
_cell_length_b 4.724
_cell_length_c 14.802
_cell_angle_alpha 90.00
_cell_angle_beta 90.00
_cell_angle_gamma 90.00
_space_group_name_H-M_alt 'I 4/m m m'
_space_group_IT_number 139
_space_group_name_Hall '-I 4 2'
loop_
_atom_site_label
_atom_site_type_symbol
_atom_site_fract_x
_atom_site_fract_y
_atom_site_fract_z
Zn1 Zn 0.000 0.000 0.000
In1 In 0.000 0.500 0.250
Bi1 Bi 0.000 0.000 0.386
```

Properties
The calculation puts the calculated formation energy at 0.2196 eV per atom.

---

# 3
## ZrCuP2O (GGA-PBE)

Data for crystalline ZrCuP2O at its relaxed geometry.

Cell and atoms, written as CIF:
```
data_ZrCuP2O
_cell_length_a 5.189
_cell_length_b 5.189
_cell_length_c 3.942
_cell_angle_alpha 90.00
_cell_angle_beta 90.00
_cell_angle_gamma 90.00
_space_group_name_H-M_alt 'P 4/m m m'
_space_group_IT_number 123
_space_group_name_Hall '-P 4 2'
loop_
_atom_site_label
_atom_site_type_symbol
_atom_site_fract_x
_atom_site_fract_y
_atom_site_fract_z
Zr1 Zr 0.000 0.000 0.000
Cu1 Cu 0.500 0.500 0.500
P1 P 0.000 0.500 0.000
O1 O 0.000 0.000 0.500
```

Properties
The value obtained for the formation energy without anion corrections is -0.07 eV/atom.

---

# 4
## GaCu3H (GGA-PBE)

Data for crystalline GaCu3H at its relaxed geometry.

Cell and atoms, written as CIF:
```
data_GaCu3H
_cell_length_a 3.766
_cell_length_b 3.766
_cell_length_c 3.766
_cell_angle_alpha 90.00
_cell_angle_beta 90.00
_cell_angle_gamma 90.00
_space_group_name_H-M_alt 'P m -3 m'
_space_group_IT_number 221
_space_group_name_Hall '-P 4 2 3'
loop_
_atom_site_label
_atom_site_type_symbol
_atom_site_fract_x
_atom_site_fract_y
_atom_site_fract_z
Ga1 Ga 0.000 0.000 0.000
Cu1 Cu 0.000 0.500 0.500
H1 H 0.500 0.500 0.500
```

Properties
For the total energy, the calculation gives -0.270 Ry/atom.

---

no.,Fermi-level density of states (states/eV per cell),total moment (μB per formula unit)
1,37.8,0.00
2,3.8,0.00
3,4.6,0.00
4,1.8,0.00